Material: PmCdCu
Method: DFT, GGA-PBE
State: optimized geometry

Results
electronic total energy	-63.56	eV per cell
calculated density	7.917	g cm⁻³
total magnetic moment	0.00	Bohr magnetons per cell

Lattice parameters (Å, degrees): 3.9141 7.6926 13.4152 90.00 90.00 90.00
Closest atoms and distances in Å follow each position.
Atoms (fractional coordinates):
Pm  0.0000  0.2370  0.5448  5 Cu 3.02-3.20, 2 Cd 3.31
Pm  0.0000  0.7630  0.4552  5 Cu 3.02-3.20, 2 Cd 3.31
Cd  0.5000  0.5714  0.6211  3 Cu 2.78-2.93
Cd  0.5000  0.8012  0.2500  4 Cu 2.74-2.88
Cu  0.5000  0.9479  0.5903  1 Cu 2.55
Cd  0.5000  0.5714  0.8789  3 Cu 2.78-2.93
Cd  0.5000  0.1988  0.7500  4 Cu 2.74-2.88
Pm  0.0000  0.7630  0.0448  5 Cu 3.02-3.20, 2 Cd 3.31
Cu  0.5000  0.0521  0.0903  1 Cu 2.55
Cu  0.0000  0.5513  0.2500  6 Cd 2.74-2.78
Pm  0.0000  0.1469  0.2500  5 Cu 2.99-3.11, 2 Cd 3.30
Cu  0.0000  0.4487  0.7500  6 Cd 2.74-2.78
Cu  0.5000  0.9479  0.9097  1 Cu 2.55
Pm  0.0000  0.2370  0.9552  5 Cu 3.02-3.20, 2 Cd 3.31
Cu  0.5000  0.0521  0.4097  1 Cu 2.55
Pm  0.0000  0.8531  0.7500  5 Cu 2.99-3.11, 2 Cd 3.30
Cd  0.5000  0.4286  0.1211  3 Cu 2.78-2.93
Cd  0.5000  0.4286  0.3789  3 Cu 2.78-2.93